Here is crystalline ThMg8Ag4 at its relaxed geometry from the Alexandria database. Energies are from PBE.

Cell lengths 7.5357, 7.5357, 7.5357 Å; angles 98.02, 98.02, 136.13 degrees
Last column: nearest neighbours and their distance in Å.
Element x y z (fractional)
Th (0.0000, 0.0000, 0.0000)  12 Mg 3.40-3.52, 8 Ag 3.77
Mg (0.0000, 0.3441, 0.3441)  4 Ag 2.99, 5 Mg 3.08-3.22
Mg (0.0000, 0.6559, 0.6559)  4 Ag 2.99, 5 Mg 3.08-3.22
Mg (0.2856, 0.5000, 0.7856)  4 Ag 2.87, 4 Mg 3.00-3.09
Mg (0.3441, 0.0000, 0.3441)  4 Ag 2.99, 5 Mg 3.08-3.22
Mg (0.5000, 0.2856, 0.7856)  4 Ag 2.87, 4 Mg 3.00-3.09
Mg (0.5000, 0.7144, 0.2144)  4 Ag 2.87, 4 Mg 3.00-3.09
Mg (0.6559, 0.0000, 0.6559)  4 Ag 2.99, 5 Mg 3.08-3.22
Mg (0.7144, 0.5000, 0.2144)  4 Ag 2.87, 4 Mg 3.00-3.09
Ag (0.0000, 0.0000, 0.5000)  2 Ag 2.81, 8 Mg 2.87-2.99
Ag (0.0000, 0.5000, 0.0000)  2 Ag 2.81, 8 Mg 2.87-2.99
Ag (0.5000, 0.0000, 0.0000)  2 Ag 2.81, 8 Mg 2.87-2.99
Ag (0.5000, 0.5000, 0.5000)  2 Ag 2.81, 8 Mg 2.87-2.99

Values from the calculation:
energy of formation: -0.1504 eV/atom
spin magnetization: 0.00 μB/f.u.
total energy: -33.5 eV/cell
SG: I4/mmm, No. 139


Here is crystalline Th2MgAg at its relaxed geometry from the Alexandria database. Energies are from PBE.

Cell lengths 4.7495, 4.7495, 4.7358 Å; angles 90.00, 90.00, 90.00 degrees
Last column: nearest neighbours and their distance in Å.
Element x y z (fractional)
Th (0.0000, 0.5000, 0.0000)  4 Mg 3.35, 4 Ag 3.35, 4 Th 3.36
Th (0.5000, 0.0000, 0.0000)  4 Mg 3.35, 4 Ag 3.35, 4 Th 3.36
Mg (0.0000, 0.0000, 0.5000)  8 Th 3.35, 4 Ag 3.36
Ag (0.5000, 0.5000, 0.5000)  8 Th 3.35, 4 Mg 3.36

Values from the calculation:
energy of formation: 0.0448 eV/atom
spin magnetization: 0.00 μB/f.u.
total energy: -19.1 eV/cell
SG: P4/mmm, No. 123
excess energy over the best structure of this formula in the dataset: 6 meV per atom


Here is crystalline ThMg4Ag5 at its relaxed geometry from the Alexandria database. Energies are from PBE.

Cell lengths 3.3753, 3.3753, 17.5190 Å; angles 90.00, 90.00, 90.00 degrees
Last column: nearest neighbours and their distance in Å.
Element x y z (fractional)
Th (0.0000, 0.0000, 0.0000)  8 Ag 3.28, 4 Th 3.38
Mg (0.0000, 0.0000, 0.2188)  8 Ag 2.86-2.91
Mg (0.0000, 0.0000, 0.4067)  8 Ag 2.89
Mg (0.0000, 0.0000, 0.5933)  8 Ag 2.89
Mg (0.0000, 0.0000, 0.7812)  8 Ag 2.86-2.91
Ag (0.5000, 0.5000, 0.1284)  4 Mg 2.86
Ag (0.5000, 0.5000, 0.3139)  8 Mg 2.89-2.91
Ag (0.5000, 0.5000, 0.5000)  8 Mg 2.89
Ag (0.5000, 0.5000, 0.6861)  8 Mg 2.89-2.91
Ag (0.5000, 0.5000, 0.8716)  4 Mg 2.86

Values from the calculation:
energy of formation: -0.2025 eV/atom
spin magnetization: 0.00 μB/f.u.
total energy: -30.1 eV/cell
SG: P4/mmm, No. 123


Look up the spin magnetization of the third one. 0.00 μB/f.u.


Which value of energy of formation does entry 3 give? -0.2025 eV/atom